Entry from the Alexandria database: crystalline Tb6PrTl2 at its relaxed geometry (GGA-PBE).

Values from the calculation:
Energy ... -4.287 eV/atom
DOS(E_F) ... 12.37 states/eV/cell
Distance to the lowest polymorph of the same formula ... 0 meV/atom
Energy of formation ... -0.14 eV per atom
Space group ... No. 12
Calculated density ... 8.9 g cm⁻³

Cell lengths 6.719, 6.719, 12.060 Å; angles 107.11, 107.11, 32.72 degrees
Fractional coordinates of all 9 atoms:
Tb: 0.010 0.010 0.346
Tb: 0.310 0.310 0.418
Tb: 0.311 0.311 0.127
Tb: 0.689 0.689 0.873
Tb: 0.690 0.690 0.582
Tb: 0.990 0.990 0.654
Pr: 0.000 0.000 0.000
Tl: 0.358 0.358 0.783
Tl: 0.642 0.642 0.217